## ThMnCo2H8 (GGA-PBE)

Data for crystalline ThMnCo2H8 at its relaxed geometry.

abc: 5.9098 5.9098 5.9098
angles: 44.25 44.25 44.25
Element x y z (fractional)
Th: 0.0000 0.0000 0.0000
Mn: 0.5000 0.5000 0.5000
Co: 0.2023 0.2023 0.2023
Co: 0.7977 0.7977 0.7977
H: 0.1348 0.4039 0.8186
H: 0.1814 0.8652 0.5961
H: 0.3066 0.3066 0.3066
H: 0.4039 0.8186 0.1348
H: 0.5961 0.1814 0.8652
H: 0.6934 0.6934 0.6934
H: 0.8186 0.1348 0.4039
H: 0.8652 0.5961 0.1814

Computed properties:
Total magnetic moment = 3.8 μB/cell
Total energy = -59.6 eV for the cell shown